# 1
The following is a DFT calculation (PBE) of a relaxed LaTb2Pt crystal.

Summary:
The total magnetic moment is 0.00 μB per formula unit. The value obtained for the energy of formation from the pure elements is -664 meV/atom. As for the space group: No. 63. The value obtained for the relative energy among the computed polymorphs is 18 meV per atom.

a b c (Å): 4.919 12.403 7.555
angles (deg): 90.00 90.00 90.00
Fractional coordinates of all 16 atoms:
La: 0.000 0.043 0.250
La: 0.000 0.957 0.750
La: 0.500 0.457 0.750
La: 0.500 0.543 0.250
Tb: 0.000 0.348 0.031
Tb: 0.000 0.348 0.469
Tb: 0.000 0.652 0.531
Tb: 0.000 0.652 0.969
Tb: 0.500 0.152 0.531
Tb: 0.500 0.152 0.969
Tb: 0.500 0.848 0.031
Tb: 0.500 0.848 0.469
Pt: 0.000 0.193 0.750
Pt: 0.000 0.807 0.250
Pt: 0.500 0.307 0.250
Pt: 0.500 0.693 0.750

=====

# 2
The following is a DFT calculation (PBE) of a relaxed UPa2Nb crystal.

Summary:
The total magnetic moment is 0.00 μB per formula unit. The value obtained for the energy of formation from the pure elements is 178 meV/atom. As for the space group: No. 12. The value obtained for the relative energy among the computed polymorphs is 28 meV per atom.

a b c (Å): 10.794 6.456 5.108
angles (deg): 90.00 90.08 90.00
Fractional coordinates of all 16 atoms:
U: 0.178 0.000 0.251
U: 0.322 0.500 0.749
U: 0.678 0.500 0.251
U: 0.822 0.000 0.749
Pa: 0.117 0.237 0.750
Pa: 0.117 0.763 0.750
Pa: 0.383 0.263 0.250
Pa: 0.383 0.737 0.250
Pa: 0.617 0.263 0.750
Pa: 0.617 0.737 0.750
Pa: 0.883 0.237 0.250
Pa: 0.883 0.763 0.250
Nb: 0.118 0.500 0.250
Nb: 0.382 0.000 0.750
Nb: 0.618 0.000 0.250
Nb: 0.882 0.500 0.750